DFT (PBE-GGA) results for a relaxed Cu3Ag7 crystal.

```
Cu3Ag7
1.0
4.540 -1.986 0.000
4.540 1.986 0.000
-0.021 0.000 9.017
Ag Cu
7 3
direct
0.000 0.000 0.500
0.300 0.300 0.601
0.096 0.096 0.197
0.196 0.196 0.899
0.804 0.804 0.101
0.904 0.904 0.803
0.700 0.700 0.399
0.599 0.599 0.705
0.500 0.500 0.000
0.401 0.401 0.295
```

Output
raw total energy	-30.103	eV/f.u.
energy relative to the lowest polymorph listed for this composition	5.10	kJ/mol of atoms
energy of formation from the pure elements	79	kJ/mol of formula units
V	16.26	A^3/atom